<1>
Ac2HoPt | GGA-PBE | relaxed

```
4
Lattice="-2.321 -3.084 -0.438 1.900 -0.969 -3.247 5.516 -4.814 4.663" Properties=species:S:1:pos:R:3 pbc="T T T"
Ac 4.389 -3.831 3.711
Ac 1.127 -0.984 0.953
Ho 2.547 -4.434 0.489
Pt -0.211 -2.026 -1.843
```

Calculated values
Calculated volume = 32.75 Å³ per atom

<2>
Ac2HoPt | GGA-PBE | relaxed

```
4
Lattice="-3.602 0.534 1.779 -0.276 0.043 4.043 0.319 11.074 1.935" Properties=species:S:1:pos:R:3 pbc="T T T"
Ac -0.213 7.481 1.937
Ac -3.346 4.171 5.820
Ho 0.000 0.000 0.000
Pt -1.779 5.826 3.878
```

Calculated values
Calculated volume = 39.11 Å³ per atom

Among the structures above, stability is greatest for <1>.